1.
A plane-wave DFT calculation with PBE was carried out for Cs4Na2Zn after structural relaxation.

Total DFT energy (no corrections) ... -0.919 eV per atom
E_form ... 0.128 eV per atom
V ... 1133 Å³/cell
DOS at the Fermi energy ... 7.4 states/eV/f.u.

```
data_Cs4Na2Zn
_chemical_formula_sum 'Cs8 Na4 Zn2'
_cell_length_a 7.2076
_cell_length_b 7.2076
_cell_length_c 21.8090
_cell_angle_alpha 90.00
_cell_angle_beta 90.00
_cell_angle_gamma 90.00
_space_group_name_H-M_alt 'I 4/m m m'
_space_group_IT_number 139
_space_group_name_Hall '-I 4 2'
loop_
_atom_site_label
_atom_site_type_symbol
_atom_site_fract_x
_atom_site_fract_y
_atom_site_fract_z
Cs1 Cs 0.0000 0.0000 0.1802
Cs2 Cs 0.0000 0.5000 0.0000
Na1 Na 0.0000 0.0000 0.3778
Zn1 Zn 0.0000 0.0000 0.0000
```

***

2.
A plane-wave DFT calculation with PBE was carried out for Cs2NaZn after structural relaxation.

Total DFT energy (no corrections) ... -0.938 eV per atom
E_form ... 0.138 eV per atom
Excess energy over the best structure of this formula in the dataset ... 0 meV per atom
V ... 231 Å³/cell
DOS at the Fermi energy ... 4.2 states/eV/f.u.

```
data_Cs2NaZn
_chemical_formula_sum 'Cs2 Na1 Zn1'
_cell_length_a 4.8147
_cell_length_b 4.8147
_cell_length_c 9.9579
_cell_angle_alpha 90.00
_cell_angle_beta 90.00
_cell_angle_gamma 90.00
_space_group_name_H-M_alt 'P 4/m m m'
_space_group_IT_number 123
_space_group_name_Hall '-P 4 2'
loop_
_atom_site_label
_atom_site_type_symbol
_atom_site_fract_x
_atom_site_fract_y
_atom_site_fract_z
Cs1 Cs 0.0000 0.0000 0.2230
Na1 Na 0.5000 0.5000 0.5000
Zn1 Zn 0.5000 0.5000 0.0000
```

***

3.
A plane-wave DFT calculation with PBE was carried out for Cs4Na5Zn after structural relaxation.

Total DFT energy (no corrections) ... -1.076 eV per atom
E_form ... 0.053 eV per atom
V ... 1199 Å³/cell
DOS at the Fermi energy ... 7.1 states/eV/f.u.

```
data_Cs4Na5Zn
_chemical_formula_sum 'Cs8 Na10 Zn2'
_cell_length_a 13.0923
_cell_length_b 13.0923
_cell_length_c 6.9938
_cell_angle_alpha 90.00
_cell_angle_beta 90.00
_cell_angle_gamma 90.00
_space_group_name_H-M_alt 'I 4'
_space_group_IT_number 79
_space_group_name_Hall 'I 4'
loop_
_atom_site_label
_atom_site_type_symbol
_atom_site_fract_x
_atom_site_fract_y
_atom_site_fract_z
Cs1 Cs 0.0007 0.7111 0.0000
Na1 Na 0.0000 0.0000 0.2447
Na2 Na 0.1557 0.1559 0.5283
Zn1 Zn 0.0000 0.0000 0.7499
```

***

4.
A plane-wave DFT calculation with PBE was carried out for CsNaZn after structural relaxation.

Total DFT energy (no corrections) ... -1.083 eV per atom
E_form ... 0.066 eV per atom
Excess energy over the best structure of this formula in the dataset ... 0 meV per atom
V ... 544 Å³/cell
DOS at the Fermi energy ... 1.9 states/eV/f.u.

```
data_CsNaZn
_chemical_formula_sum 'Cs4 Na4 Zn4'
_cell_length_a 13.9633
_cell_length_b 4.7821
_cell_length_c 8.1508
_cell_angle_alpha 90.00
_cell_angle_beta 90.00
_cell_angle_gamma 90.00
_space_group_name_H-M_alt 'P n m a'
_space_group_IT_number 62
_space_group_name_Hall '-P 2ac 2n'
loop_
_atom_site_label
_atom_site_type_symbol
_atom_site_fract_x
_atom_site_fract_y
_atom_site_fract_z
Cs1 Cs 0.2215 0.2500 0.1526
Na1 Na 0.0201 0.2500 0.6786
Zn1 Zn 0.0307 0.7500 0.9542
```

***

5.
A plane-wave DFT calculation with PBE was carried out for CsNaZn after structural relaxation.

Total DFT energy (no corrections) ... -1.010 eV per atom
E_form ... 0.139 eV per atom
Excess energy over the best structure of this formula in the dataset ... 73 meV per atom
V ... 140 Å³/cell
DOS at the Fermi energy ... 0.6 states/eV/f.u.

```
data_CsNaZn
_chemical_formula_sum 'Cs1 Na1 Zn1'
_cell_length_a 5.5362
_cell_length_b 5.5362
_cell_length_c 5.2763
_cell_angle_alpha 90.00
_cell_angle_beta 90.00
_cell_angle_gamma 120.00
_space_group_name_H-M_alt 'P -6 m 2'
_space_group_IT_number 187
_space_group_name_Hall 'P -6 2'
loop_
_atom_site_label
_atom_site_type_symbol
_atom_site_fract_x
_atom_site_fract_y
_atom_site_fract_z
Cs1 Cs 0.0000 0.0000 0.0000
Na1 Na 0.3333 0.6667 0.5000
Zn1 Zn 0.6667 0.3333 0.5000
```

***

6.
A plane-wave DFT calculation with PBE was carried out for CsNa3Zn after structural relaxation.

Total DFT energy (no corrections) ... -0.541 eV per atom
E_form ... 0.676 eV per atom
Excess energy over the best structure of this formula in the dataset ... 577 meV per atom
V ... 466 Å³/cell
DOS at the Fermi energy ... 5.7 states/eV/f.u.

```
data_CsNa3Zn
_chemical_formula_sum 'Cs1 Na3 Zn1'
_cell_length_a 7.7526
_cell_length_b 7.7526
_cell_length_c 7.7526
_cell_angle_alpha 90.00
_cell_angle_beta 90.00
_cell_angle_gamma 90.00
_space_group_name_H-M_alt 'P m -3 m'
_space_group_IT_number 221
_space_group_name_Hall '-P 4 2 3'
loop_
_atom_site_label
_atom_site_type_symbol
_atom_site_fract_x
_atom_site_fract_y
_atom_site_fract_z
Cs1 Cs 0.0000 0.0000 0.0000
Na1 Na 0.0000 0.0000 0.5000
Zn1 Zn 0.5000 0.5000 0.5000
```

***

7.
A plane-wave DFT calculation with PBE was carried out for CsNa4Zn after structural relaxation.

Total DFT energy (no corrections) ... -1.185 eV per atom
E_form ... 0.049 eV per atom
Excess energy over the best structure of this formula in the dataset ... 0 meV per atom
V ... 1076 Å³/cell
DOS at the Fermi energy ... 3.5 states/eV/f.u.

```
data_CsNa4Zn
_chemical_formula_sum 'Cs4 Na16 Zn4'
_cell_length_a 22.3172
_cell_length_b 8.4353
_cell_length_c 5.9209
_cell_angle_alpha 90.00
_cell_angle_beta 105.21
_cell_angle_gamma 90.00
_space_group_name_H-M_alt 'C 1 2/m 1'
_space_group_IT_number 12
_space_group_name_Hall '-C 2y'
loop_
_atom_site_label
_atom_site_type_symbol
_atom_site_fract_x
_atom_site_fract_y
_atom_site_fract_z
Cs1 Cs 0.2161 0.0000 0.2155
Na1 Na 0.0000 0.1919 0.0000
Na2 Na 0.0869 0.2365 0.5861
Na3 Na 0.1227 0.5000 0.1220
Zn1 Zn 0.9999 0.5000 0.2770
```

***

8.
A plane-wave DFT calculation with PBE was carried out for CsNaZn after structural relaxation.

Total DFT energy (no corrections) ... -1.003 eV per atom
E_form ... 0.145 eV per atom
Excess energy over the best structure of this formula in the dataset ... 79 meV per atom
V ... 259 Å³/cell
DOS at the Fermi energy ... 1.4 states/eV/f.u.

```
data_CsNaZn
_chemical_formula_sum 'Cs2 Na2 Zn2'
_cell_length_a 4.3409
_cell_length_b 4.3409
_cell_length_c 13.7443
_cell_angle_alpha 90.00
_cell_angle_beta 90.00
_cell_angle_gamma 90.00
_space_group_name_H-M_alt 'I 4 m m'
_space_group_IT_number 107
_space_group_name_Hall 'I 4 -2'
loop_
_atom_site_label
_atom_site_type_symbol
_atom_site_fract_x
_atom_site_fract_y
_atom_site_fract_z
Cs1 Cs 0.0000 0.0000 0.0000
Na1 Na 0.0000 0.0000 0.2722
Zn1 Zn 0.0000 0.0000 0.6857
```

***

9.
A plane-wave DFT calculation with PBE was carried out for CsNaZr3 after structural relaxation.

Total DFT energy (no corrections) ... -3.606 eV per atom
E_form ... 1.957 eV per atom
Excess energy over the best structure of this formula in the dataset ... 230 meV per atom
V ... 173 Å³/cell
DOS at the Fermi energy ... 7.2 states/eV/f.u.

```
data_CsNaZr3
_chemical_formula_sum 'Cs1 Na1 Zr3'
_cell_length_a 5.5667
_cell_length_b 5.5667
_cell_length_c 5.5667
_cell_angle_alpha 90.00
_cell_angle_beta 90.00
_cell_angle_gamma 90.00
_space_group_name_H-M_alt 'P m -3 m'
_space_group_IT_number 221
_space_group_name_Hall '-P 4 2 3'
loop_
_atom_site_label
_atom_site_type_symbol
_atom_site_fract_x
_atom_site_fract_y
_atom_site_fract_z
Cs1 Cs 0.0000 0.0000 0.0000
Na1 Na 0.5000 0.5000 0.5000
Zr1 Zr 0.0000 0.0000 0.5000
```

***

10.
A plane-wave DFT calculation with PBE was carried out for Cs2NaZr2 after structural relaxation.

Total DFT energy (no corrections) ... -3.399 eV per atom
E_form ... 0.625 eV per atom
V ... 483 Å³/cell
DOS at the Fermi energy ... 4.9 states/eV/f.u.

```
data_Cs2NaZr2
_chemical_formula_sum 'Cs4 Na2 Zr4'
_cell_length_a 4.0605
_cell_length_b 4.0605
_cell_length_c 29.3111
_cell_angle_alpha 90.00
_cell_angle_beta 90.00
_cell_angle_gamma 90.00
_space_group_name_H-M_alt 'I 4/m m m'
_space_group_IT_number 139
_space_group_name_Hall '-I 4 2'
loop_
_atom_site_label
_atom_site_type_symbol
_atom_site_fract_x
_atom_site_fract_y
_atom_site_fract_z
Cs1 Cs 0.0000 0.0000 0.1236
Na1 Na 0.0000 0.0000 0.5000
Zr1 Zr 0.0000 0.5000 0.2500
```

***

11.
A plane-wave DFT calculation with PBE was carried out for CsNaZr2 after structural relaxation.

Total DFT energy (no corrections) ... -3.763 eV per atom
E_form ... 1.055 eV per atom
V ... 499 Å³/cell
DOS at the Fermi energy ... 5.1 states/eV/f.u.

```
data_CsNaZr2
_chemical_formula_sum 'Cs4 Na4 Zr8'
_cell_length_a 4.3321
_cell_length_b 4.3321
_cell_length_c 26.5993
_cell_angle_alpha 90.00
_cell_angle_beta 90.00
_cell_angle_gamma 90.00
_space_group_name_H-M_alt 'I -4 2 d'
_space_group_IT_number 122
_space_group_name_Hall 'I -4 2bw'
loop_
_atom_site_label
_atom_site_type_symbol
_atom_site_fract_x
_atom_site_fract_y
_atom_site_fract_z
Cs1 Cs 0.0000 0.0000 0.0000
Na1 Na 0.0000 0.0000 0.5000
Zr1 Zr 0.2404 0.2500 0.6250
```

***

12.
A plane-wave DFT calculation with PBE was carried out for Cs3NaZr after structural relaxation.

Total DFT energy (no corrections) ... -1.592 eV per atom
E_form ... 0.893 eV per atom
Excess energy over the best structure of this formula in the dataset ... 0 meV per atom
V ... 394 Å³/cell
DOS at the Fermi energy ... 3.8 states/eV/f.u.

```
data_Cs3NaZr
_chemical_formula_sum 'Cs3 Na1 Zr1'
_cell_length_a 7.3333
_cell_length_b 7.3333
_cell_length_c 7.3333
_cell_angle_alpha 90.00
_cell_angle_beta 90.00
_cell_angle_gamma 90.00
_space_group_name_H-M_alt 'P m -3 m'
_space_group_IT_number 221
_space_group_name_Hall '-P 4 2 3'
loop_
_atom_site_label
_atom_site_type_symbol
_atom_site_fract_x
_atom_site_fract_y
_atom_site_fract_z
Cs1 Cs 0.0000 0.0000 0.5000
Na1 Na 0.5000 0.5000 0.5000
Zr1 Zr 0.0000 0.0000 0.0000
```